# 1
Cs4PaTe5 | Alexandria | GGA-PBE | relaxed; symmetry = I4/mmm (139); formation energy from raw total energies = -0.92 eV/atom
1.0
-4.820 0.461 3.750
-7.888 0.242 -5.167
-2.947 -8.666 2.278
Cs Pa Te
4 1 5
Direct
0.214 0.285 0.285
0.499 0.285 0.715
0.784 0.715 0.715
0.499 0.715 0.285
0.999 0.000 0.000
0.167 0.664 0.000
0.499 0.000 0.000
0.831 0.336 0.000
0.831 0.000 0.336
0.167 0.000 0.664

***

# 2
Hf3ZnI | Alexandria | GGA-PBE | relaxed; symmetry = Pm-3m (221); formation energy from raw total energies = 0.79 eV/atom
1.0
-1.057 1.765 -4.564
4.279 -1.933 -1.738
-2.375 -4.268 -1.101
I Hf Zn
1 3 1
Direct
0.500 0.500 0.500
0.500 0.000 0.000
0.000 0.000 0.500
0.000 0.500 0.000
0.000 0.000 0.000

***

# 3
ScZn | Alexandria | GGA-PBE | relaxed; symmetry = Imm2 (44); energy of formation from the pure elements = -223 meV/atom
1.0
6.020 -0.139 -0.125
1.934 5.696 0.301
-3.275 -3.888 3.229
Sc Zn
3 3
Direct
0.709 0.000 0.709
0.609 0.680 0.929
0.248 0.320 0.929
0.204 0.000 0.204
0.821 0.367 0.454
0.086 0.633 0.454

***

# 4
VBi3S | Alexandria | GGA-PBE | relaxed; symmetry = Pm-3m (221); formation energy from raw total energies = 0.76 eV/atom
1.0
5.351 0.000 0.000
0.000 5.351 0.000
0.000 0.000 5.351
V S Bi
1 1 3
Direct
0.500 0.500 0.500
0.000 0.000 0.000
0.000 0.000 0.500
0.000 0.500 0.000
0.500 0.000 0.000

***

# 5
RbZnS2N | Alexandria | GGA-PBE | relaxed; symmetry = P4/mmm (123); formation energy from raw total energies = 0.53 eV/atom
1.0
-1.679 -1.626 -4.254
0.764 -4.570 1.445
-4.270 -0.162 1.746
S N Zn Rb
2 1 1 1
Direct
0.500 0.000 0.000
0.000 0.500 0.000
0.000 0.000 0.500
0.000 0.000 0.000
0.500 0.500 0.500

***

# 6
TiTeOsN2 | Alexandria | GGA-PBE | relaxed; symmetry = P4/mmm (123); formation energy from raw total energies = 0.68 eV/atom
1.0
3.849 0.000 0.000
0.000 3.849 0.000
0.000 0.000 5.746
N Os Te Ti
2 1 1 1
Direct
0.000 0.500 0.000
0.500 0.000 0.000
0.000 0.000 0.000
0.000 0.000 0.500
0.500 0.500 0.500